{
  "formula": "InNi3F",
  "functional": "PBE+U",
  "state": "relaxed",
  "e_above_lowest_polymorph_ev_per_fu": 0.00,
  "total_energy_ev_per_cell": -12.0,
  "crystal_system": "cubic",
  "lattice": [[4.173, 0.000, 0.000], [0.000, 4.173, 0.000], [0.000, 0.000, 4.173]],
  "species": ["Ni", "Ni", "Ni", "In", "F"],
  "fractional_positions": [[0.000, 0.000, 0.500], [0.000, 0.500, 0.000], [0.500, 0.000, 0.000], [0.500, 0.500, 0.500], [0.000, 0.000, 0.000]]
}

***

{
  "formula": "InNi2F6",
  "functional": "PBE+U",
  "state": "relaxed",
  "total_energy_ev_per_cell": -75.9,
  "crystal_system": "tetragonal",
  "lattice": [[4.936, 0.000, 0.000], [0.000, 4.936, 0.000], [0.000, 0.000, 9.823]],
  "species": ["Ni", "F", "F", "F", "F", "F", "In", "In", "Ni", "F", "F", "Ni", "F", "F", "F", "Ni", "F", "F"],
  "fractional_positions": [[0.000, 0.000, 0.168], [0.178, 0.822, 0.000], [0.706, 0.706, 0.181], [0.822, 0.178, 0.000], [0.206, 0.794, 0.681], [0.706, 0.706, 0.819], [0.000, 0.000, 0.500], [0.500, 0.500, 0.000], [0.000, 0.000, 0.832], [0.794, 0.206, 0.681], [0.794, 0.206, 0.319], [0.500, 0.500, 0.332], [0.206, 0.794, 0.319], [0.322, 0.322, 0.500], [0.294, 0.294, 0.819], [0.500, 0.500, 0.668], [0.294, 0.294, 0.181], [0.678, 0.678, 0.500]]
}